! GGA-PBE Pm2Zr3Ge4, relaxed; values from VASP
&SYSTEM
  ibrav = 0, nat = 18, ntyp = 3
/
ATOMIC_SPECIES
Pm 145.00 Pm.upf
Zr 91.22 Zr.upf
Ge 72.64 Ge.upf
CELL_PARAMETERS angstrom
7.5237 0.0000 0.0000
0.0000 7.5225 0.0000
-2.4170 0.0000 6.9272
ATOMIC_POSITIONS angstrom
Pm 1.2625 1.2905 0.4635
Pm 0.0540 2.4707 3.9270
Pm 5.0527 5.0518 3.0001
Pm 3.8443 6.2319 6.4637
Zr 1.3035 5.0676 1.7268
Zr 0.0951 6.2161 5.1904
Zr 2.5534 0.0000 3.4636
Zr 3.7619 3.7612 0.0000
Zr 5.0117 1.3063 1.7367
Zr 3.8032 2.4549 5.2003
Ge -1.4392 4.0444 5.9600
Ge -0.2307 7.2393 2.4964
Ge 1.6115 0.9883 5.9882
Ge 2.8200 2.7729 2.5246
Ge 2.2867 4.7495 4.4025
Ge 3.4952 6.5342 0.9390
Ge 5.3374 0.2831 4.4308
Ge 6.5459 3.4781 0.9672
! symmetry	P2_1/c, No. 14
! final energy	-6.845	eV per atom
! DFT formation energy	-887.5	meV/atom